Mg2ScTl3 (GGA-PBE, relaxed); total energy = -2.861 eV per atom; DFT formation energy = -0.09 eV/atom; symmetry = P4/mmm; mass density = 8.1 g/cm3
1.0
3.516 0.000 0.000
0.000 3.516 0.000
0.000 0.000 11.682
Mg Sc Tl
2 1 3
Cartesian
0.000 0.000 1.954 Mg
0.000 0.000 9.728 Mg
0.000 0.000 5.841 Sc
1.758 1.758 0.000 Tl
1.758 1.758 3.876 Tl
1.758 1.758 7.806 Tl



YPaAl2 (GGA-PBE, relaxed); total energy = -5.981 eV per atom; DFT formation energy = -0.12 eV/atom; symmetry = Fm-3m; mass density = 6.7 g/cm3
1.0
0.000 3.600 3.600
3.600 0.000 3.600
3.600 3.600 0.000
Y Pa Al
1 1 2
Cartesian
0.000 0.000 0.000 Y
3.600 3.600 3.600 Pa
1.800 1.800 1.800 Al
5.399 5.399 5.399 Al



LiAsSe2Br (GGA-PBE, relaxed); total energy = -2.641 eV per atom; ΔE_f (raw) = 0.400 eV per atom; symmetry = P4/mmm; mass density = 4.7 g/cm3
1.0
4.467 0.000 0.000
0.000 4.467 0.000
0.000 0.000 5.607
Li As Se Br
1 1 2 1
Cartesian
0.000 0.000 0.000 Li
0.000 0.000 2.803 As
0.000 2.233 0.000 Se
2.233 0.000 0.000 Se
2.233 2.233 2.803 Br



Cd2AsAu2 (GGA-PBE, relaxed); total energy = -2.449 eV per atom; DFT formation energy = 0.16 eV/atom; symmetry = I4/mmm; mass density = 10.8 g/cm3
1.0
-1.986 1.986 6.773
1.986 -1.986 6.773
1.986 1.986 -6.773
Cd As Au
2 1 2
Cartesian
1.986 0.000 3.386 Cd
0.000 1.986 3.386 Cd
0.000 0.000 0.000 As
0.000 0.000 5.438 Au
0.000 0.000 8.108 Au



U2GaSi4Ir3 (GGA-PBE, relaxed); total energy = -8.008 eV per atom; ΔE_f (raw) = -0.620 eV per atom; symmetry = P-4m2; mass density = 12.1 g/cm3
1.0
4.119 0.000 0.000
0.000 4.119 0.000
0.000 0.000 10.019
U Ga Si Ir
2 1 4 3
Cartesian
0.000 2.059 2.457 U
2.059 0.000 7.562 U
0.000 0.000 5.010 Ga
0.000 0.000 0.000 Si
0.000 2.059 6.416 Si
2.059 0.000 3.603 Si
2.059 2.059 0.000 Si
0.000 2.059 8.758 Ir
2.059 0.000 1.261 Ir
2.059 2.059 5.010 Ir



PbBrCl2 (GGA-PBE, relaxed); total energy = -2.808 eV per atom; ΔE_f (raw) = -0.539 eV per atom; symmetry = Imm2; mass density = 4.9 g/cm3
1.0
-1.951 2.489 6.281
1.951 -2.489 6.281
1.951 2.489 -6.281
Pb Br Cl
1 1 2
Cartesian
0.000 0.000 0.000 Pb
1.951 0.000 2.465 Br
0.000 0.000 6.584 Cl
0.000 2.489 4.201 Cl



Pu6IrRh2 (GGA-PBE, relaxed); total energy = -12.334 eV per atom; DFT formation energy = -0.16 eV/atom; symmetry = C2/m; mass density = 17.5 g/cm3
1.0
5.049 -2.425 0.000
5.049 2.425 0.000
-3.979 0.000 7.230
Pu Ir Rh
6 1 2
Cartesian
-0.462 0.000 1.398 Pu
-0.626 0.000 6.661 Pu
0.853 0.000 4.602 Pu
5.267 0.000 2.628 Pu
6.746 0.000 0.569 Pu
6.581 0.000 5.832 Pu
-1.990 0.000 3.615 Ir
2.387 0.000 2.242 Rh
3.732 0.000 4.988 Rh



Li4Er3PuS8 (GGA-PBE, relaxed); total energy = -6.059 eV per atom; ΔE_f (raw) = -1.766 eV per atom; symmetry = R-3m; mass density = 5.3 g/cm3
1.0
3.903 2.253 6.160
-3.903 2.253 6.160
0.000 -4.506 6.160
Li Er Pu S
4 3 1 8
Cartesian
0.000 0.000 0.000 Li
-1.951 -1.127 6.160 Li
-1.951 1.127 12.320 Li
0.000 2.253 6.160 Li
-3.903 0.000 9.240 Er
-1.951 1.127 3.080 Er
1.951 1.127 3.080 Er
0.000 0.000 9.240 Pu
-1.978 -1.142 10.779 S
0.000 -2.284 7.701 S
-1.978 1.142 7.701 S
0.000 0.000 4.613 S
0.000 0.000 13.866 S
1.978 -1.142 10.779 S
0.000 2.284 10.779 S
1.978 1.142 7.701 S